Entry 1:
Entry from the Alexandria database: NiRhC after structural relaxation (PBE).

## Properties
raw total energy = -7.139 eV per atom
total magnetic moment = 0.0 μB per formula unit
volume = 10.9 Å³/atom

Structure (CIF):
```
data_NiRhC
_symmetry_space_group_name_H-M 'C 1 m 1'
_symmetry_Int_Tables_number 8
_cell_length_a 6.615
_cell_length_b 2.808
_cell_length_c 4.512
_cell_angle_alpha 90.00
_cell_angle_beta 128.75
_cell_angle_gamma 90.00
loop_
_symmetry_equiv_pos_as_xyz
'x,y,z'
'x,-y,z'
'x+1/2,y+1/2,z'
'x+1/2,-y+1/2,z'
loop_
_atom_site_label
_atom_site_type_symbol
_atom_site_fract_x
_atom_site_fract_y
_atom_site_fract_z
Ni1 Ni 0.000 0.000 0.000
Rh1 Rh 0.008 0.500 0.508
C1 C 0.261 0.000 0.918
```

=====

Entry 2:
Entry from the Alexandria database: Co3GeB after structural relaxation (PBE).

## Properties
raw total energy = -6.635 eV per atom
total magnetic moment = 0.7 μB per formula unit
volume = 10.4 Å³/atom

Structure (CIF):
```
data_Co3GeB
_symmetry_space_group_name_H-M 'P 63/m m c'
_symmetry_Int_Tables_number 194
_symmetry_space_group_name_Hall '-P 6c 2c'
_cell_length_a 5.5146
_cell_length_b 5.5146
_cell_length_c 3.9509
_cell_angle_alpha 90.00
_cell_angle_beta 90.00
_cell_angle_gamma 120.00
loop_
_atom_site_label
_atom_site_type_symbol
_atom_site_fract_x
_atom_site_fract_y
_atom_site_fract_z
Co1 Co 0.1821 0.3642 0.2500
Ge1 Ge 0.3333 0.6667 0.7500
B1 B 0.0000 0.0000 0.0000
```

=====

Entry 3:
Entry from the Alexandria database: Ca2Sb2Te after structural relaxation (PBE).

## Properties
formation energy (no corrections) = -0.628 eV per atom
raw total energy = -3.706 eV per atom
total magnetic moment = 0.0 μB per formula unit
volume = 33.8 Å³/atom

Structure (CIF):
```
data_Ca2Sb2Te
_symmetry_space_group_name_H-M 'I 4/m m m'
_symmetry_Int_Tables_number 139
_symmetry_space_group_name_Hall '-I 4 2'
_cell_length_a 6.106
_cell_length_b 6.106
_cell_length_c 9.075
_cell_angle_alpha 90.00
_cell_angle_beta 90.00
_cell_angle_gamma 90.00
loop_
_atom_site_label
_atom_site_type_symbol
_atom_site_fract_x
_atom_site_fract_y
_atom_site_fract_z
Ca1 Ca 0.000 0.500 0.250
Sb1 Sb 0.000 0.000 0.160
Te1 Te 0.000 0.000 0.500
```

=====

Entry 4:
Entry from the Alexandria database: AlCuRe after structural relaxation (PBE).

## Properties
raw total energy = -6.655 eV per atom
total magnetic moment = 0.0 μB per formula unit
volume = 14.1 Å³/atom

Structure (CIF):
```
data_AlCuRe
_symmetry_space_group_name_H-M 'F m m 2'
_symmetry_Int_Tables_number 42
_symmetry_space_group_name_Hall 'F 2 -2'
_cell_length_a 3.043
_cell_length_b 4.382
_cell_length_c 12.653
_cell_angle_alpha 90.00
_cell_angle_beta 90.00
_cell_angle_gamma 90.00
loop_
_atom_site_label
_atom_site_type_symbol
_atom_site_fract_x
_atom_site_fract_y
_atom_site_fract_z
Al1 Al 0.000 0.000 0.000
Cu1 Cu 0.000 0.000 0.657
Re1 Re 0.000 0.000 0.331
```

=====

Entry 5:
Entry from the Alexandria database: YBe3F after structural relaxation (PBE).

## Properties
formation energy (no corrections) = 1.638 eV per atom
raw total energy = -2.265 eV per atom
total magnetic moment = 0.0 μB per formula unit
volume = 33.9 Å³/atom

Structure (CIF):
```
data_YBe3F
_symmetry_space_group_name_H-M 'P m -3 m'
_symmetry_Int_Tables_number 221
_symmetry_space_group_name_Hall '-P 4 2 3'
_cell_length_a 5.535
_cell_length_b 5.535
_cell_length_c 5.535
_cell_angle_alpha 90.00
_cell_angle_beta 90.00
_cell_angle_gamma 90.00
loop_
_atom_site_label
_atom_site_type_symbol
_atom_site_fract_x
_atom_site_fract_y
_atom_site_fract_z
Y1 Y 0.000 0.000 0.000
Be1 Be 0.000 0.000 0.500
F1 F 0.500 0.500 0.500
```

=====

Entry 6:
Entry from the Alexandria database: GaCo2AgP after structural relaxation (PBE).

## Properties
raw total energy = -4.727 eV per atom
total magnetic moment = 1.6 μB per formula unit
volume = 16.3 Å³/atom

Structure (CIF):
```
data_GaCo2AgP
_symmetry_space_group_name_H-M 'P 4/m m m'
_symmetry_Int_Tables_number 123
_symmetry_space_group_name_Hall '-P 4 2'
_cell_length_a 4.163
_cell_length_b 4.163
_cell_length_c 4.699
_cell_angle_alpha 90.00
_cell_angle_beta 90.00
_cell_angle_gamma 90.00
loop_
_atom_site_label
_atom_site_type_symbol
_atom_site_fract_x
_atom_site_fract_y
_atom_site_fract_z
Ga1 Ga 0.000 0.000 0.000
Co1 Co 0.000 0.500 0.500
Ag1 Ag 0.500 0.500 0.000
P1 P 0.000 0.000 0.500
```

=====

Entry 7:
Entry from the Alexandria database: Er12CoHg6 after structural relaxation (PBE).

## Properties
raw total energy = -3.582 eV per atom
total magnetic moment = 0.0 μB per formula unit
volume = 27.8 Å³/atom

Structure (CIF):
```
data_Er12CoHg6
_symmetry_space_group_name_H-M 'R -3'
_symmetry_Int_Tables_number 148
_symmetry_space_group_name_Hall '-R 3'
_cell_length_a 11.8604
_cell_length_b 11.8604
_cell_length_c 13.0275
_cell_angle_alpha 90.00
_cell_angle_beta 90.00
_cell_angle_gamma 120.00
loop_
_atom_site_label
_atom_site_type_symbol
_atom_site_fract_x
_atom_site_fract_y
_atom_site_fract_z
Er1 Er 0.0331 0.1861 0.3887
Er2 Er 0.0333 0.8468 0.8805
Co1 Co 0.0000 0.0000 0.0000
Hg1 Hg 0.0064 0.3942 0.2545
```

=====

Entry 8:
Entry from the Alexandria database: MgAlS2Cl after structural relaxation (PBE).

## Properties
formation energy (no corrections) = -0.179 eV per atom
raw total energy = -3.267 eV per atom
total magnetic moment = 0.0 μB per formula unit
volume = 22.6 Å³/atom

Structure (CIF):
```
data_MgAlS2Cl
_symmetry_space_group_name_H-M 'P 4/m m m'
_symmetry_Int_Tables_number 123
_symmetry_space_group_name_Hall '-P 4 2'
_cell_length_a 4.890
_cell_length_b 4.890
_cell_length_c 4.721
_cell_angle_alpha 90.00
_cell_angle_beta 90.00
_cell_angle_gamma 90.00
loop_
_atom_site_label
_atom_site_type_symbol
_atom_site_fract_x
_atom_site_fract_y
_atom_site_fract_z
Mg1 Mg 0.000 0.000 0.000
Al1 Al 0.500 0.500 0.500
S1 S 0.000 0.500 0.000
Cl1 Cl 0.000 0.000 0.500
```

=====

no.,density (g cm⁻³)
1,8.822
2,8.306
3,4.430
4,10.895
5,1.321
6,6.657
7,10.263
8,2.219